*w*
{"formula": "Tl2TcPd2", "functional": "PBE", "state": "relaxed", "lattice": [[-3.639, 1.322, -6.599], [2.787, -6.532, -2.846], [-2.627, -1.611, 1.126]], "species": ["Tl", "Tl", "Tl", "Tl", "Tc", "Tc", "Pd", "Pd", "Pd", "Pd"], "fractional_positions": [[0.169, 0.669, 0.500], [0.669, 0.831, 0.500], [0.831, 0.331, 0.500], [0.331, 0.169, 0.500], [0.000, 0.000, 0.000], [0.500, 0.500, 0.000], [0.369, 0.869, 0.000], [0.869, 0.631, 0.000], [0.631, 0.131, 0.000], [0.131, 0.369, 0.000]], "space_group": "P4/mbm"}

*x*
{"formula": "Tl2TcPd2", "functional": "PBE", "state": "relaxed", "lattice": [[-3.977, -1.079, 0.188], [1.088, -3.816, 1.127], [-1.632, -0.680, 6.823]], "species": ["Tl", "Tl", "Tc", "Pd", "Pd"], "fractional_positions": [[0.750, 0.250, 0.500], [0.250, 0.750, 0.500], [0.000, 0.000, 0.000], [0.401, 0.401, 0.198], [0.599, 0.599, 0.802]], "space_group": "I4/mmm"}

Tell me which of them is the least stable. Sure, it is *x*.

*w*
{"formula": "TlTc2Pd", "functional": "PBE", "state": "relaxed", "lattice": [[0.000, 3.208, 3.208], [3.208, 0.000, 3.208], [3.208, 3.208, 0.000]], "species": ["Tl", "Tc", "Tc", "Pd"], "fractional_positions": [[0.500, 0.500, 0.500], [0.250, 0.250, 0.250], [0.750, 0.750, 0.750], [0.000, 0.000, 0.000]], "space_group": "Fm-3m"}

*x*
{"formula": "TlTc2Pd", "functional": "PBE", "state": "relaxed", "lattice": [[7.531, 0.000, 0.000], [0.000, 7.531, 0.000], [3.765, 3.765, 2.606]], "species": ["Tl", "Tl", "Tc", "Tc", "Tc", "Tc", "Pd", "Pd"], "fractional_positions": [[0.000, 0.000, 0.000], [0.750, 0.250, 0.500], [0.608, 0.125, 0.250], [0.142, 0.625, 0.250], [0.375, 0.392, 0.750], [0.875, 0.858, 0.750], [0.500, 0.500, 0.000], [0.250, 0.750, 0.500]], "space_group": "I-42d"}

Tell me which of them is the least stable. Sure, it is *x*.

*w*
{"formula": "Tm4TcPd", "functional": "PBE", "state": "relaxed", "lattice": [[4.267, 0.000, 0.000], [0.000, 7.492, 0.000], [0.000, 0.000, 18.019]], "species": ["Tm", "Tm", "Tm", "Tm", "Tm", "Tm", "Tm", "Tm", "Tm", "Tm", "Tm", "Tm", "Tm", "Tm", "Tm", "Tm", "Tc", "Tc", "Tc", "Tc", "Pd", "Pd", "Pd", "Pd"], "fractional_positions": [[0.750, 0.902, 0.647], [0.250, 0.098, 0.353], [0.250, 0.598, 0.147], [0.750, 0.402, 0.853], [0.750, 0.851, 0.456], [0.250, 0.149, 0.544], [0.250, 0.649, 0.956], [0.750, 0.351, 0.044], [0.750, 0.994, 0.928], [0.250, 0.006, 0.072], [0.250, 0.506, 0.428], [0.750, 0.494, 0.572], [0.750, 0.928, 0.219], [0.250, 0.072, 0.781], [0.250, 0.572, 0.719], [0.750, 0.428, 0.281], [0.750, 0.250, 0.438], [0.250, 0.750, 0.562], [0.250, 0.250, 0.938], [0.750, 0.750, 0.062], [0.750, 0.772, 0.798], [0.250, 0.228, 0.202], [0.250, 0.728, 0.298], [0.750, 0.272, 0.702]], "space_group": "Pnma"}

*x*
{"formula": "Tm4TcPd", "functional": "PBE", "state": "relaxed", "lattice": [[7.639, -0.008, 0.000], [-3.092, 6.986, 0.000], [-2.274, -3.489, 6.404]], "species": ["Tm", "Tm", "Tm", "Tm", "Tm", "Tm", "Tm", "Tm", "Tc", "Tc", "Pd", "Pd"], "fractional_positions": [[0.262, 0.959, 0.697], [0.740, 0.444, 0.704], [0.709, 0.512, 0.197], [0.194, 0.990, 0.204], [0.315, 0.512, 0.803], [0.786, 0.990, 0.796], [0.740, 0.036, 0.296], [0.262, 0.565, 0.303], [0.749, 0.749, 0.000], [0.499, 0.999, 0.500], [0.248, 0.248, 0.000], [0.998, 0.498, 0.500]], "space_group": "I4_1md"}

Tell me which of them is the least stable. Sure, it is *x*.

*w*
{"formula": "Tm8TcPd2", "functional": "PBE", "state": "relaxed", "lattice": [[-5.334, -1.916, -0.336], [2.845, -4.708, 5.367], [-1.252, 7.247, 2.229]], "species": ["Tm", "Tm", "Tm", "Tm", "Tm", "Tm", "Tm", "Tm", "Tc", "Pd", "Pd"], "fractional_positions": [[0.581, 0.329, 0.088], [0.581, 0.088, 0.329], [0.171, 0.364, 0.364], [0.990, 0.208, 0.787], [0.990, 0.787, 0.208], [0.815, 0.645, 0.645], [0.384, 0.917, 0.675], [0.384, 0.675, 0.917], [0.104, 0.005, 0.005], [0.500, 0.704, 0.312], [0.500, 0.312, 0.704]], "space_group": "Cm"}

*x*
{"formula": "Tm8TcPd2", "functional": "PBE", "state": "relaxed", "lattice": [[5.014, 0.000, 0.000], [0.000, 6.749, 0.134], [-2.507, -2.732, 8.009]], "species": ["Tm", "Tm", "Tm", "Tm", "Tm", "Tm", "Tm", "Tm", "Tc", "Pd", "Pd"], "fractional_positions": [[0.408, 0.559, 0.815], [0.665, 0.966, 0.330], [0.802, 0.693, 0.603], [0.970, 0.205, 0.940], [0.198, 0.307, 0.397], [0.335, 0.034, 0.670], [0.592, 0.441, 0.185], [0.030, 0.795, 0.060], [0.500, 0.000, 0.000], [0.814, 0.296, 0.627], [0.186, 0.704, 0.373]], "space_group": "C2/m"}

Tell me which of them is the least stable. Sure, it is *w*.

*w*
{"formula": "VTc2Pd", "functional": "PBE", "state": "relaxed", "lattice": [[3.954, 0.000, 0.000], [0.000, 3.807, 0.000], [0.000, 0.000, 3.807]], "species": ["Tc", "Tc", "Pd", "V"], "fractional_positions": [[0.000, 0.000, 0.500], [0.000, 0.500, 0.000], [0.500, 0.000, 0.000], [0.500, 0.500, 0.500]], "space_group": "P4/mmm"}

*x*
{"formula": "VTc2Pd", "functional": "PBE", "state": "relaxed", "lattice": [[0.000, 3.077, 3.077], [3.077, 0.000, 3.077], [3.077, 3.077, 0.000]], "species": ["Tc", "Tc", "Pd", "V"], "fractional_positions": [[0.250, 0.250, 0.250], [0.750, 0.750, 0.750], [0.500, 0.500, 0.500], [0.000, 0.000, 0.000]], "space_group": "Fm-3m"}

*y*
{"formula": "VTc2Pd", "functional": "PBE", "state": "relaxed", "lattice": [[-2.701, -0.323, 2.553], [2.572, -0.201, 2.696], [-0.301, 8.873, 3.531]], "species": ["Tc", "Tc", "Tc", "Tc", "Pd", "Pd", "V", "V"], "fractional_positions": [[0.582, 0.125, 0.250], [0.168, 0.625, 0.250], [0.375, 0.418, 0.750], [0.875, 0.832, 0.750], [0.000, 0.000, 0.000], [0.750, 0.250, 0.500], [0.500, 0.500, 0.000], [0.250, 0.750, 0.500]], "space_group": "I-42d"}

Tell me which of them is the least stable. Sure, it is *y*.

*w*
{"formula": "V2TcPd2", "functional": "PBE", "state": "relaxed", "lattice": [[3.600, 0.000, 0.000], [0.000, 3.600, 0.000], [1.800, 1.800, 5.996]], "species": ["Tc", "Pd", "Pd", "V", "V"], "fractional_positions": [[0.000, 0.000, 0.000], [0.750, 0.250, 0.500], [0.250, 0.750, 0.500], [0.408, 0.408, 0.185], [0.592, 0.592, 0.815]], "space_group": "I4/mmm"}

*x*
{"formula": "V2TcPd2", "functional": "PBE", "state": "relaxed", "lattice": [[6.189, 0.000, 0.000], [0.000, 6.189, 0.000], [0.000, 0.000, 3.902]], "species": ["Tc", "Tc", "Pd", "Pd", "Pd", "Pd", "V", "V", "V", "V"], "fractional_positions": [[0.000, 0.000, 0.000], [0.500, 0.500, 0.000], [0.161, 0.661, 0.500], [0.661, 0.839, 0.500], [0.839, 0.339, 0.500], [0.339, 0.161, 0.500], [0.363, 0.863, 0.000], [0.863, 0.637, 0.000], [0.637, 0.137, 0.000], [0.137, 0.363, 0.000]], "space_group": "P4/mbm"}

Tell me which of them is the least stable. Sure, it is *w*.

*w*
{"formula": "Tc2PdW", "functional": "PBE", "state": "relaxed", "lattice": [[3.873, 0.000, 0.000], [0.000, 3.930, 0.000], [0.000, 0.000, 3.930]], "species": ["Pd", "W", "Tc", "Tc"], "fractional_positions": [[0.500, 0.000, 0.000], [0.500, 0.500, 0.500], [0.000, 0.000, 0.500], [0.000, 0.500, 0.000]], "space_group": "P4/mmm"}

*x*
{"formula": "Tc2PdW", "functional": "PBE", "state": "relaxed", "lattice": [[-2.709, -2.940, 1.876], [-3.894, -0.920, -1.868], [-0.661, -3.927, -1.910]], "species": ["Pd", "W", "Tc", "Tc"], "fractional_positions": [[0.000, 0.000, 0.000], [0.500, 0.500, 0.500], [0.250, 0.250, 0.250], [0.750, 0.750, 0.750]], "space_group": "Fm-3m"}

*y*
{"formula": "Tc2PdW", "functional": "PBE", "state": "relaxed", "lattice": [[3.796, 0.000, 0.000], [0.000, 3.796, 0.000], [1.898, 1.898, 9.137]], "species": ["Pd", "Pd", "W", "W", "Tc", "Tc", "Tc", "Tc"], "fractional_positions": [[0.500, 0.500, 0.000], [0.250, 0.750, 0.500], [0.000, 0.000, 0.000], [0.750, 0.250, 0.500], [0.596, 0.125, 0.250], [0.154, 0.625, 0.250], [0.375, 0.404, 0.750], [0.875, 0.846, 0.750]], "space_group": "I-42d"}

Tell me which of them is the least stable. Sure, it is *y*.

*w*
{"formula": "TcPdW3", "functional": "PBE", "state": "relaxed", "lattice": [[-2.316, 3.725, -1.578], [-2.272, 0.306, 4.059], [3.347, 2.786, 1.664]], "species": ["Pd", "W", "W", "W", "Tc"], "fractional_positions": [[0.000, 0.000, 0.000], [0.000, 0.500, 0.000], [0.000, 0.000, 0.500], [0.500, 0.000, 0.000], [0.500, 0.500, 0.500]], "space_group": "Pm-3m"}

*x*
{"formula": "TcPdW3", "functional": "PBE", "state": "relaxed", "lattice": [[4.669, 0.000, 0.000], [0.000, 4.669, 0.000], [0.000, 0.000, 4.669]], "species": ["Pd", "W", "W", "W", "Tc"], "fractional_positions": [[0.500, 0.500, 0.500], [0.000, 0.500, 0.000], [0.000, 0.000, 0.500], [0.500, 0.000, 0.000], [0.000, 0.000, 0.000]], "space_group": "Pm-3m"}

Tell me which of them is the least stable. Sure, it is *w*.